Compound: Dy2Tm3Tl6
Source: the Alexandria database
Functional: GGA-PBE
Structure: relaxed

The structure belongs to space group I4/mmm (No. 139); the cell edges are 4.667, 4.667 and 30.046 Å and the angles 90.00°, 90.00° and 90.00°. The distinct sites, in fractional coordinates, are Dy at (0.000, 0.000, 0.053), Tm at (0.000, 0.000, 0.299), Tm at (0.000, 0.000, 0.500), Tl at (0.000, 0.000, 0.198) and Tl at (0.000, 0.500, 0.121).

The spin magnetization is 0.00 μB per formula unit. The calculated density comes out at 10.4 g cm⁻³. The energy of formation from the pure elements is 14.8 meV per atom.

Compound: As2Ir
Source: the Alexandria database
Functional: GGA-PBE
Structure: relaxed

The structure belongs to space group P-3m1 (No. 164); the cell edges are 4.5016, 4.5016 and 2.9255 Å and the angles 90.00°, 90.00° and 120.00°. The distinct sites, in fractional coordinates, are As at (0.3333, 0.6667, 0.3497) and Ir at (0.0000, 0.0000, 0.5000).

The spin magnetization is 0.00 μB per formula unit. The calculated density comes out at 11.1 g cm⁻³. The energy of formation from the pure elements is 177.0 meV per atom.

Compound: Hf4Al2Fe
Source: the Alexandria database
Functional: GGA-PBE
Structure: relaxed

The structure belongs to space group I4/mmm (No. 139); the cell edges are 4.572, 4.572 and 14.650 Å and the angles 90.00°, 90.00° and 90.00°. The distinct sites, in fractional coordinates, are Hf at (0.000, 0.000, 0.175), Hf at (0.000, 0.500, 0.000), Al at (0.000, 0.000, 0.366) and Fe at (0.000, 0.000, 0.000).

The spin magnetization is 0.00 μB per formula unit. The calculated density comes out at 8.9 g cm⁻³. The energy of formation from the pure elements is 238.7 meV per atom.

Compound: Al3As
Source: the Alexandria database
Functional: GGA-PBE
Structure: relaxed

The structure belongs to space group Pmmm (No. 47); the cell edges are 3.350, 3.586 and 5.800 Å and the angles 90.00°, 90.00° and 90.00°. The distinct sites, in fractional coordinates, are Al at (0.000, 0.000, 0.000), Al at (0.500, 0.500, 0.254) and As at (0.000, 0.000, 0.500).

The value obtained for the energy relative to the lowest polymorph listed for this composition is 82 meV/atom. The spin magnetization is 0.00 μB per formula unit. The calculated density comes out at 3.7 g cm⁻³. The energy of formation from the pure elements is 77.1 meV per atom.

Compound: SmTmLuTl
Source: the Alexandria database
Functional: GGA-PBE
Structure: relaxed

The structure belongs to space group F-43m (No. 216); the cell edges are 7.707, 7.707 and 7.707 Å and the angles 90.00°, 90.00° and 90.00°. The distinct sites, in fractional coordinates, are Sm at (0.000, 0.000, 0.000), Tm at (0.000, 0.000, 0.500), Lu at (0.250, 0.250, 0.750) and Tl at (0.250, 0.250, 0.250).

The spin magnetization is 0.80 μB per formula unit. The calculated density comes out at 10.1 g cm⁻³. The energy of formation from the pure elements is -35.2 meV per atom.

Compound: As2IrCSe
Source: the Alexandria database
Functional: GGA-PBE
Structure: relaxed

The structure belongs to space group P4/mmm (No. 123); the cell edges are 4.666, 4.666 and 5.372 Å and the angles 90.00°, 90.00° and 90.00°. The distinct sites, in fractional coordinates, are As at (0.000, 0.500, 0.000), Ir at (0.000, 0.000, 0.000), C at (0.500, 0.500, 0.500) and Se at (0.000, 0.000, 0.500).

The value obtained for the energy relative to the lowest polymorph listed for this composition is 661 meV/atom. The spin magnetization is 0.68 μB per formula unit. The calculated density comes out at 6.1 g cm⁻³. Its formation energy from raw total energies is 1.83 eV per atom.

Compound: K4CdHg2
Source: the Alexandria database
Functional: GGA-PBE
Structure: relaxed

The structure belongs to space group R-3m (No. 166, hexagonal axes); the cell edges are 5.9888, 5.9888 and 31.5923 Å and the angles 90.00°, 90.00° and 120.00°. The distinct sites, in fractional coordinates, are K at (0.0000, 0.0000, 0.1211), K at (0.0000, 0.0000, 0.2934), Cd at (0.0000, 0.0000, 0.5000) and Hg at (0.0000, 0.0000, 0.4073).

The value obtained for the energy relative to the lowest polymorph listed for this composition is 0 meV/atom. The spin magnetization is 0.00 μB per formula unit. The calculated density comes out at 3.4 g cm⁻³. The energy of formation from the pure elements is -133.1 meV per atom.

Compound: UPa2MnN5
Source: the Alexandria database
Functional: GGA-PBE
Structure: relaxed

The structure belongs to space group P4/mbm (No. 127); the cell edges are 6.520, 6.520 and 5.565 Å and the angles 90.00°, 90.00° and 90.00°. The distinct sites, in fractional coordinates, are U at (0.000, 0.000, 0.000), Pa at (0.169, 0.331, 0.500), Mn at (0.000, 0.500, 0.000), N at (0.000, 0.000, 0.500) and N at (0.152, 0.652, 0.234).

The spin magnetization is 5.09 μB per formula unit. The calculated density comes out at 11.6 g cm⁻³. Its formation energy from raw total energies is -1.13 eV per atom.

Compound: YCu4Rh2
Source: the Alexandria database
Functional: GGA-PBE
Structure: relaxed

The structure belongs to space group C2/m (No. 12); the cell edges are 8.194, 6.381 and 5.156 Å and the angles 90.00°, 128.96° and 90.00°. The distinct sites, in fractional coordinates, are Y at (0.000, 0.000, 0.000), Cu at (0.192, 0.192, 0.691) and Rh at (0.001, 0.500, 0.751).

The value obtained for the energy relative to the lowest polymorph listed for this composition is 0 meV/atom. The spin magnetization is 0.00 μB per formula unit. The calculated density comes out at 8.7 g cm⁻³. The energy of formation from the pure elements is -219.6 meV per atom.

Compound: MgCoNi2H
Source: the Alexandria database
Functional: GGA-PBE
Structure: relaxed

The structure belongs to space group P4/mmm (No. 123); the cell edges are 3.688, 3.688 and 3.714 Å and the angles 90.00°, 90.00° and 90.00°. The distinct sites, in fractional coordinates, are Mg at (0.000, 0.000, 0.000), Co at (0.500, 0.500, 0.000), Ni at (0.000, 0.500, 0.500) and H at (0.500, 0.500, 0.500).

The spin magnetization is 1.77 μB per formula unit. The calculated density comes out at 6.6 g cm⁻³. Its final energy is -23.88 eV for the cell shown.

Compound: KNpTe3As
Source: the Alexandria database
Functional: GGA-PBE
Structure: relaxed

The structure belongs to space group P2_1/m (No. 11); the cell edges are 8.905, 4.196 and 10.622 Å and the angles 90.00°, 96.57° and 90.00°. The distinct sites, in fractional coordinates, are K at (0.157, 0.250, 0.314), Np at (0.355, 0.750, 0.836), Te at (0.106, 0.250, 0.890), Te at (0.392, 0.750, 0.548), Te at (0.393, 0.750, 0.133) and As at (0.194, 0.250, 0.659).

The spin magnetization is 3.14 μB per formula unit. The calculated density comes out at 6.2 g cm⁻³. Its formation energy from raw total energies is -0.55 eV per atom.

Compound: Dy4TlCd2Ag
Source: the Alexandria database
Functional: GGA-PBE
Structure: relaxed

The structure belongs to space group R-3m (No. 166, hexagonal axes); the cell edges are 5.2686, 5.2686 and 25.9032 Å and the angles 90.00°, 90.00° and 120.00°. The distinct sites, in fractional coordinates, are Dy at (0.0000, 0.0000, 0.1222), Dy at (0.0000, 0.0000, 0.3725), Tl at (0.0000, 0.0000, 0.5000), Cd at (0.0000, 0.0000, 0.2499) and Ag at (0.0000, 0.0000, 0.0000).

The spin magnetization is 0.00 μB per formula unit. The calculated density comes out at 9.5 g cm⁻³. The energy of formation from the pure elements is -315.7 meV per atom.

Q: Which of these has the highest calculated density?
A: UPa2MnN5

Q: Which value of spin magnetization does entry 6 give?
A: 0.68 μB per formula unit

Q: What is the formula in the sixth record?
A: As2IrCSe